Entry from Alexandria: a relaxed structure of Pu2Be7Au12 (PBE).

Cell: 4.064 9.873 9.873 Å, 120.00 90.00 90.00°
Last column: magnetic moment on the atom in μB.
Fractional positions:
Be: 0.252 0.714 0.604  0.00
Be: 0.252 0.396 0.110  0.00
Be: 0.252 0.890 0.286  0.00
Be: 0.748 0.110 0.714  0.00
Be: 0.748 0.286 0.396  0.00
Be: 0.748 0.604 0.890  0.00
Be: 0.500 0.000 0.000  0.01
Au: 0.753 0.880 0.742  0.01
Au: 0.751 0.544 0.621  0.01
Au: 0.753 0.258 0.139  0.01
Au: 0.247 0.139 0.880  0.01
Au: 0.751 0.379 0.923  0.01
Au: 0.247 0.742 0.861  0.01
Au: 0.249 0.621 0.077  0.01
Au: 0.753 0.861 0.120  0.01
Au: 0.247 0.120 0.258  0.01
Au: 0.249 0.923 0.544  0.01
Au: 0.249 0.456 0.379  0.01
Au: 0.751 0.077 0.456  0.01
Pu: 0.248 0.333 0.667  5.20
Pu: 0.752 0.667 0.333  5.20

Output
Space group: P-3 (147)
Volume: 16.3 Å³ per atom
Formation energy: -202 meV per atom